This record from OQMD via LeMat-Bulk describes a relaxed Nd2Al5Ag5 crystal. The functional is GGA-PBE.

Cell lengths 4.4404, 5.4954, 9.6736 Å; angles 90.00, 90.00, 90.00 degrees
Closest atoms and distances in Å follow each position.
Space group Pmmm (No. 47)
Inequivalent atoms, fractional coordinates:
Nd1 0.0000 0.0000 0.0000 [1 per cell]  10 Ag 3.23-3.53, 8 Al 3.52
Nd2 0.0000 0.5000 0.5000 [1 per cell]  6 Ag 3.10-3.18
Al1 0.5000 0.0000 0.5000 [1 per cell]  4 Ag 2.74, 4 Al 2.82
Al2 0.5000 0.2481 0.2447 [4 per cell]  5 Ag 2.69-2.75, 3 Al 2.73-2.82
Ag1 0.0000 0.0000 0.3342 [2 per cell]  6 Al 2.74-2.75
Ag2 0.0000 0.5000 0.1798 [2 per cell]  4 Al 2.69, 2 Ag 2.82
Ag3 0.5000 0.5000 0.0000 [1 per cell]  4 Al 2.74, 4 Ag 2.82

Properties
DFT total energy: -46.647 eV/cell
size of the total moment: 0.00 μB per cell
theoretical density: 6.8 g/cm³

=====

This record from OQMD via LeMat-Bulk describes a relaxed NdAl4Ag8 crystal. The functional is GGA-PBE.

Cell lengths 9.3610, 9.3610, 5.3684 Å; angles 90.00, 90.00, 90.00 degrees
Closest atoms and distances in Å follow each position.
Space group I4/mmm (No. 139)
Inequivalent atoms, fractional coordinates:
Nd1 0.0000 0.0000 0.0000 [2 per cell]  12 Ag 3.23-3.37, 8 Al 3.57
Al1 0.2500 0.2500 0.2500 [8 per cell]  2 Al 2.68, 8 Ag 2.71-2.84
Ag1 0.0000 0.2178 0.5000 [8 per cell]  4 Al 2.71, 6 Ag 2.88-3.01
Ag2 0.0000 0.3448 0.0000 [8 per cell]  4 Al 2.84, 5 Ag 2.90-3.01

Properties
DFT total energy: -90.465 eV/cell
size of the total moment: 0.03 μB per cell
theoretical density: 7.9 g/cm³

=====

This record from OQMD via LeMat-Bulk describes a relaxed Nd3Al9Ag2 crystal. The functional is GGA-PBE.

Cell lengths 4.3886, 10.2127, 12.7475 Å; angles 90.00, 90.00, 90.00 degrees
Closest atoms and distances in Å follow each position.
Space group Immm (No. 71)
Inequivalent atoms, fractional coordinates:
Nd1 0.0000 0.0000 0.0000 [2 per cell]  12 Al 3.29-3.31, 4 Ag 3.63
Nd2 0.0000 0.0000 0.3127 [4 per cell]  10 Al 3.19-3.24, 2 Ag 3.25
Al1 0.0000 0.2767 0.1326 [8 per cell]  4 Al 2.69-2.84, 2 Ag 2.77
Al2 0.0000 0.3706 0.3359 [8 per cell]  1 Ag 2.62, 4 Al 2.64-2.76
Al3 0.0000 0.5000 0.0000 [2 per cell]  4 Al 2.84, 4 Ag 3.11
Ag1 0.0000 0.2164 0.5000 [4 per cell]  6 Al 2.62-2.77

Properties
DFT total energy: -118.595 eV/cell
size of the total moment: 0.00 μB per cell
theoretical density: 5.2 g/cm³

=====

This record from OQMD via LeMat-Bulk describes a relaxed NdAl5Ag7 crystal. The functional is GGA-PBE.

Cell lengths 10.6804, 9.3510, 5.4026 Å; angles 90.00, 120.07, 90.00 degrees
Closest atoms and distances in Å follow each position.
Space group Cm (No. 8)
Inequivalent atoms, fractional coordinates:
Nd1 0.0000 0.0000 0.0000 [2 per cell]  10 Ag 3.12-3.40, 2 Al 3.41
Al1 0.2247 0.0000 0.7228 [2 per cell]  4 Al 2.75, 6 Ag 2.81-2.90
Al2 0.2518 0.2537 0.0032 [4 per cell]  7 Ag 2.68-2.85, 3 Al 2.68-2.75
Al3 0.2520 0.2543 0.5000 [4 per cell]  7 Ag 2.67-2.87, 3 Al 2.68-2.75
Ag1 0.0063 0.2084 0.5058 [4 per cell]  5 Al 2.68-2.81, 3 Ag 2.87-2.99
Ag2 0.1526 0.5000 0.6543 [2 per cell]  4 Al 2.82-2.83, 5 Ag 2.91-3.04
Ag3 0.2780 0.5000 0.2785 [2 per cell]  4 Al 2.67-2.68, 4 Ag 2.87-2.94
Ag4 0.3375 0.0000 0.3344 [2 per cell]  6 Al 2.83-2.90, 3 Ag 2.91-3.14, 1 Nd 3.12
Ag5 0.4946 0.1544 0.9937 [4 per cell]  5 Al 2.78-2.88, 4 Ag 2.89-2.99

Properties
DFT total energy: -92.337 eV/cell
size of the total moment: 0.03 μB per cell
theoretical density: 7.4 g/cm³

=====

This record from OQMD via LeMat-Bulk describes a relaxed Nd2YAl3NiAg2 crystal. The functional is GGA-PBE.

Cell lengths 4.1935, 12.7082, 7.2736 Å; angles 90.00, 90.00, 90.00 degrees
Closest atoms and distances in Å follow each position.
Space group Amm2 (No. 38)
Inequivalent atoms, fractional coordinates:
Nd1 0.0000 0.1990 0.0000 [4 per cell]  1 Ni 2.94, 4 Ag 3.08-3.09
Y1 0.0000 0.0000 0.5933 [2 per cell]  1 Ni 2.82, 4 Ag 3.03
Al1 0.5000 0.0000 0.9806 [2 per cell]  2 Ni 2.66, 2 Al 2.77, 2 Ag 2.91
Al2 0.5000 0.1088 0.3112 [4 per cell]  2 Ni 2.63, 2 Al 2.77, 1 Ag 2.88
Ni1 0.0000 0.0000 0.2050 [2 per cell]  6 Al 2.63-2.66, 1 Y 2.82, 2 Nd 2.94
Ag1 0.5000 0.1616 0.6965 [4 per cell]  3 Al 2.88-3.03, 2 Y 3.03, 4 Nd 3.08-3.09

Properties
DFT total energy: -85.065 eV/cell
size of the total moment: 0.00 μB per cell
theoretical density: 6.3 g/cm³

=====

This record from OQMD via LeMat-Bulk describes a relaxed NdAlAg2O4 crystal. The functional is GGA-PBE.

Cell lengths 3.2625, 3.2625, 12.6635 Å; angles 90.00, 90.00, 120.00 degrees
Closest atoms and distances in Å follow each position.
Space group P-3m1 (No. 164)
Inequivalent atoms, fractional coordinates:
Nd1 0.0000 0.0000 0.0000 [1 per cell]  6 O 2.29
Al1 0.0000 0.0000 0.5000 [1 per cell]  6 O 2.07
Ag1 0.3333 0.6667 0.2671 [2 per cell]  2 O 2.07-2.10
O1 0.3333 0.6667 0.1035 [2 per cell]  1 Ag 2.07, 3 Nd 2.29
O2 0.3333 0.6667 0.4329 [2 per cell]  3 Al 2.07, 1 Ag 2.10

Properties
DFT total energy: -47.939 eV/cell
size of the total moment: 0.00 μB per cell
theoretical density: 6.4 g/cm³

=====

This record from OQMD via LeMat-Bulk describes a relaxed Pr2NdAl3AgPd2 crystal. The functional is GGA-PBE.

Cell lengths 4.2716, 12.6656, 7.3021 Å; angles 90.00, 90.00, 90.00 degrees
Closest atoms and distances in Å follow each position.
Space group Amm2 (No. 38)
Inequivalent atoms, fractional coordinates:
Pr1 0.0000 0.2115 0.0000 [4 per cell]  4 Pd 3.06, 1 Ag 3.10, 2 Al 3.28
Nd1 0.0000 0.0000 0.3653 [2 per cell]  4 Pd 3.04, 1 Ag 3.08, 2 Al 3.27
Al1 0.5000 0.0000 0.0257 [2 per cell]  2 Ag 2.76, 2 Pd 2.84, 2 Al 3.00
Al2 0.5000 0.1180 0.6691 [4 per cell]  2 Ag 2.75, 2 Pd 2.84-2.88, 2 Al 2.99-3.00
Ag1 0.0000 0.0000 0.7874 [2 per cell]  6 Al 2.75-2.76
Pd1 0.5000 0.1656 0.2888 [4 per cell]  3 Al 2.84-2.88, 2 Nd 3.04, 4 Pr 3.06

Properties
DFT total energy: -89.019 eV/cell
size of the total moment: 0.00 μB per cell
theoretical density: 7.0 g/cm³

=====

This record from OQMD via LeMat-Bulk describes a relaxed PrNd2Al7Ag2 crystal. The functional is GGA-PBE.

Cell lengths 5.6658, 5.6658, 26.7336 Å; angles 90.00, 90.00, 120.00 degrees
Closest atoms and distances in Å follow each position.
Space group R-3m (No. 166, hexagonal axes)
Inequivalent atoms, fractional coordinates:
Pr1 0.0000 0.0000 0.0000 [3 per cell]  6 Ag 3.27, 12 Al 3.59
Nd1 0.0000 0.0000 0.1416 [6 per cell]  12 Al 3.24-3.34, 3 Nd 3.54
Al1 0.0000 0.0000 0.5000 [3 per cell]  6 Al 2.81
Al2 0.0081 0.5040 0.9175 [18 per cell]  2 Ag 2.71-2.78, 5 Al 2.76-2.90
Ag1 0.0000 0.0000 0.3361 [6 per cell]  6 Al 2.71-2.78

Properties
DFT total energy: -155.282 eV/cell
size of the total moment: 0.00 μB per cell
theoretical density: 5.6 g/cm³

=====

This record from OQMD via LeMat-Bulk describes a relaxed PrNd2Al3AgPt2 crystal. The functional is GGA-PBE.

Cell lengths 4.2584, 12.6330, 7.2950 Å; angles 90.00, 90.00, 90.00 degrees
Closest atoms and distances in Å follow each position.
Space group Amm2 (No. 38)
Inequivalent atoms, fractional coordinates:
Pr1 0.0000 0.0000 0.0000 [2 per cell]  4 Pt 3.06, 1 Ag 3.09, 6 Al 3.25-3.42
Nd1 0.0000 0.2110 0.6325 [4 per cell]  4 Pt 3.04, 1 Ag 3.07, 2 Al 3.24
Al1 0.5000 0.0000 0.6642 [2 per cell]  2 Ag 2.76, 2 Pt 2.83, 2 Al 3.06
Al2 0.5000 0.1218 0.3010 [4 per cell]  2 Ag 2.77, 2 Pt 2.80-2.83, 2 Al 3.06-3.08
Ag1 0.0000 0.0000 0.4230 [2 per cell]  6 Al 2.76-2.77, 2 Nd 3.07, 1 Pr 3.09
Pt1 0.5000 0.1678 0.9212 [4 per cell]  3 Al 2.80-2.83, 4 Nd 3.04, 2 Pr 3.06

Properties
DFT total energy: -95.152 eV/cell
size of the total moment: 0.01 μB per cell
theoretical density: 8.5 g/cm³

=====

This record from OQMD via LeMat-Bulk describes a relaxed NdAlSiAg2 crystal. The functional is GGA-PBE.

Cell lengths 4.2850, 4.2850, 10.9192 Å; angles 90.00, 90.00, 90.00 degrees
Closest atoms and distances in Å follow each position.
Space group I4mm (No. 107)
Inequivalent atoms, fractional coordinates:
Nd1 0.0000 0.0000 0.0000 [2 per cell]  4 Si 3.24, 4 Al 3.29, 8 Ag 3.41-3.53
Al1 0.0000 0.0000 0.3822 [2 per cell]  1 Si 2.43, 4 Ag 2.63
Si1 0.0000 0.0000 0.6047 [2 per cell]  1 Al 2.43, 4 Ag 2.62
Ag1 0.0000 0.5000 0.2426 [4 per cell]  2 Si 2.62, 2 Al 2.63

Properties
DFT total energy: -43.344 eV/cell
size of the total moment: 0.01 μB per cell
theoretical density: 6.9 g/cm³

=====

This record from OQMD via LeMat-Bulk describes a relaxed NdSm2Al7Ag2 crystal. The functional is GGA-PBE.

Cell lengths 5.6258, 5.6258, 26.6045 Å; angles 90.00, 90.00, 120.00 degrees
Closest atoms and distances in Å follow each position.
Space group R-3m (No. 166, hexagonal axes)
Inequivalent atoms, fractional coordinates:
Nd1 0.0000 0.0000 0.0000 [3 per cell]  6 Ag 3.25, 12 Al 3.58
Sm1 0.0000 0.0000 0.1418 [6 per cell]  12 Al 3.22-3.31, 3 Sm 3.51
Al1 0.0000 0.0000 0.5000 [3 per cell]  6 Al 2.77
Al2 0.0081 0.5041 0.9168 [18 per cell]  2 Ag 2.71-2.78, 5 Al 2.74-2.88
Ag1 0.0000 0.0000 0.3359 [6 per cell]  6 Al 2.71-2.78

Properties
DFT total energy: -155.184 eV/cell
size of the total moment: 0.01 μB per cell
theoretical density: 5.8 g/cm³

=====

- Number 5 is which compound?
  Nd2YAl3NiAg2